(1)
Here is a relaxed BeRu2Pt crystal from Alexandria. Energies are from PBE-GGA.

CIF file:
```
data_BeRu2Pt
_chemical_formula_sum 'Be1 Ru2 Pt1'
_cell_length_a 2.758
_cell_length_b 2.758
_cell_length_c 6.736
_cell_angle_alpha 90.00
_cell_angle_beta 90.00
_cell_angle_gamma 90.00
_space_group_name_H-M_alt 'P 4 m m'
_space_group_IT_number 99
loop_
_space_group_symop_operation_xyz
'x,y,z'
'-y,x,z'
'-x,-y,z'
'y,-x,z'
'-x,y,z'
'y,x,z'
'x,-y,z'
'-y,-x,z'
loop_
_atom_site_label
_atom_site_type_symbol
_atom_site_fract_x
_atom_site_fract_y
_atom_site_fract_z
Be1 Be 0.000 0.000 0.000
Ru1 Ru 0.000 0.000 0.518
Ru2 Ru 0.500 0.500 0.776
Pt1 Pt 0.500 0.500 0.207
```

energy of formation = -5.99 kcal/mol of atoms



(2)
Here is a relaxed SbRhSeI2 crystal from Alexandria. Energies are from PBE-GGA.

CIF file:
```
data_SbRhSeI2
_chemical_formula_sum 'Sb1 Rh1 Se1 I2'
_cell_length_a 5.343
_cell_length_b 5.343
_cell_length_c 5.170
_cell_angle_alpha 90.00
_cell_angle_beta 90.00
_cell_angle_gamma 90.00
_space_group_name_H-M_alt 'P 4/m m m'
_space_group_IT_number 123
_space_group_name_Hall '-P 4 2'
loop_
_atom_site_label
_atom_site_type_symbol
_atom_site_fract_x
_atom_site_fract_y
_atom_site_fract_z
Sb1 Sb 0.000 0.000 0.000
Rh1 Rh 0.000 0.000 0.500
Se1 Se 0.500 0.500 0.000
I1 I 0.000 0.500 0.500
```

relative energy among the computed polymorphs = 0.0 meV/atom
formation energy (no corrections) = 2.09 eV per formula unit



(3)
Here is a relaxed GdPuZnNi crystal from Alexandria. Energies are from PBE-GGA.

CIF file:
```
data_GdPuZnNi
_chemical_formula_sum 'Gd4 Pu4 Zn4 Ni4'
_cell_length_a 6.986
_cell_length_b 6.986
_cell_length_c 6.986
_cell_angle_alpha 90.00
_cell_angle_beta 90.00
_cell_angle_gamma 90.00
_space_group_name_H-M_alt 'F -4 3 m'
_space_group_IT_number 216
_space_group_name_Hall 'F -4 2 3'
loop_
_atom_site_label
_atom_site_type_symbol
_atom_site_fract_x
_atom_site_fract_y
_atom_site_fract_z
Gd1 Gd 0.000 0.000 0.000
Pu1 Pu 0.000 0.000 0.500
Zn1 Zn 0.250 0.250 0.750
Ni1 Ni 0.250 0.250 0.250
```

energy of formation = -2.79 kcal/mol of atoms



(4)
Here is a relaxed MnSbTe2C crystal from Alexandria. Energies are from PBE-GGA.

CIF file:
```
data_MnSbTe2C
_chemical_formula_sum 'Mn1 Sb1 Te2 C1'
_cell_length_a 4.804
_cell_length_b 4.804
_cell_length_c 4.710
_cell_angle_alpha 90.00
_cell_angle_beta 90.00
_cell_angle_gamma 90.00
_space_group_name_H-M_alt 'P 4/m m m'
_space_group_IT_number 123
_space_group_name_Hall '-P 4 2'
loop_
_atom_site_label
_atom_site_type_symbol
_atom_site_fract_x
_atom_site_fract_y
_atom_site_fract_z
Mn1 Mn 0.000 0.000 0.000
Sb1 Sb 0.500 0.500 0.000
Te1 Te 0.000 0.500 0.500
C1 C 0.500 0.500 0.500
```

relative energy among the computed polymorphs = 0.0 meV/atom
formation energy (no corrections) = 5.42 eV per formula unit



(5)
Here is a relaxed Tm3PuAg3Se8 crystal from Alexandria. Energies are from PBE-GGA.

CIF file:
```
data_Tm3PuAg3Se8
_chemical_formula_sum 'Tm6 Pu2 Ag6 Se16'
_cell_length_a 13.751
_cell_length_b 8.242
_cell_length_c 8.038
_cell_angle_alpha 90.00
_cell_angle_beta 123.46
_cell_angle_gamma 90.00
_space_group_name_H-M_alt 'C 1 2/m 1'
_space_group_IT_number 12
loop_
_space_group_symop_operation_xyz
'x,y,z'
'-x,-y,-z'
'-x,y,-z'
'x,-y,z'
'x+1/2,y+1/2,z'
'-x+1/2,-y+1/2,-z'
'-x+1/2,y+1/2,-z'
'x+1/2,-y+1/2,z'
loop_
_atom_site_label
_atom_site_type_symbol
_atom_site_fract_x
_atom_site_fract_y
_atom_site_fract_z
Tm1 Tm 0.000 0.000 0.000
Tm2 Tm 0.250 0.250 0.500
Pu1 Pu 0.000 0.500 0.000
Ag1 Ag 0.000 0.500 0.500
Ag2 Ag 0.250 0.250 0.000
Se1 Se 0.003 0.248 0.247
Se2 Se 0.248 0.000 0.253
Se3 Se 0.248 0.500 0.256
```

formation energy (no corrections) = -17.36 eV per formula unit



(6)
Here is a relaxed Pa3Tc2Ge4 crystal from Alexandria. Energies are from PBE-GGA.

CIF file:
```
data_Pa3Tc2Ge4
_chemical_formula_sum 'Pa6 Tc4 Ge8'
_cell_length_a 3.860
_cell_length_b 7.437
_cell_length_c 13.132
_cell_angle_alpha 90.00
_cell_angle_beta 90.00
_cell_angle_gamma 90.00
_space_group_name_H-M_alt 'I m m m'
_space_group_IT_number 71
_space_group_name_Hall '-I 2 2'
loop_
_atom_site_label
_atom_site_type_symbol
_atom_site_fract_x
_atom_site_fract_y
_atom_site_fract_z
Pa1 Pa 0.000 0.000 0.000
Pa2 Pa 0.000 0.500 0.114
Tc1 Tc 0.000 0.231 0.500
Ge1 Ge 0.000 0.311 0.310
```

energy of formation = -6.77 kcal/mol of atoms
relative energy among the computed polymorphs = 163.7 meV/atom



(7)
Here is a relaxed BeCdPt3 crystal from Alexandria. Energies are from PBE-GGA.

CIF file:
```
data_BeCdPt3
_chemical_formula_sum 'Be2 Cd2 Pt6'
_cell_length_a 2.858
_cell_length_b 6.992
_cell_length_c 7.484
_cell_angle_alpha 94.27
_cell_angle_beta 90.01
_cell_angle_gamma 90.03
_space_group_name_H-M_alt 'P 1'
_space_group_IT_number 1
loop_
_space_group_symop_operation_xyz
'x,y,z'
loop_
_atom_site_label
_atom_site_type_symbol
_atom_site_fract_x
_atom_site_fract_y
_atom_site_fract_z
Be1 Be 0.000 0.000 0.000
Be2 Be 0.002 0.413 0.158
Cd1 Cd 0.002 0.207 0.575
Cd2 Cd 0.999 0.593 0.753
Pt1 Pt 0.001 0.827 0.414
Pt2 Pt 0.499 0.933 0.754
Pt3 Pt 0.500 0.307 0.925
Pt4 Pt 0.501 0.106 0.235
Pt5 Pt 0.501 0.714 0.089
Pt6 Pt 0.503 0.488 0.401
```

energy of formation = -9.37 kcal/mol of atoms
relative energy among the computed polymorphs = 31.9 meV/atom



(8)
Here is a relaxed SrAlCuNi crystal from Alexandria. Energies are from PBE-GGA.

CIF file:
```
data_SrAlCuNi
_chemical_formula_sum 'Sr2 Al2 Cu2 Ni2'
_cell_length_a 7.365
_cell_length_b 4.228
_cell_length_c 5.858
_cell_angle_alpha 90.00
_cell_angle_beta 114.71
_cell_angle_gamma 90.00
_space_group_name_H-M_alt 'C 1 m 1'
_space_group_IT_number 8
loop_
_space_group_symop_operation_xyz
'x,y,z'
'x,-y,z'
'x+1/2,y+1/2,z'
'x+1/2,-y+1/2,z'
loop_
_atom_site_label
_atom_site_type_symbol
_atom_site_fract_x
_atom_site_fract_y
_atom_site_fract_z
Sr1 Sr 0.000 0.000 0.000
Al1 Al 0.007 0.500 0.518
Cu1 Cu 0.311 0.500 0.433
Ni1 Ni 0.188 0.000 0.563
```

energy of formation = -7.00 kcal/mol of atoms



| no. | N(E_F) (states/eV/f.u.) |
| --- | --- |
| 1 | 2.4 |
| 2 | 6.0 |
| 3 | 10.1 |
| 4 | 3.1 |
| 5 | 13.1 |
| 6 | 9.6 |
| 7 | 2.2 |
| 8 | 2.2 |